(a)
VASP calculation (PBE-GGA) on crystalline InGaH3 at its relaxed geometry.

abc: 4.0586 4.0586 4.0586
angles: 90.00 90.00 90.00
Fractional positions:
In 0.0000 0.0000 0.0000
Ga 0.5000 0.5000 0.5000
H 0.0000 0.0000 0.5000
H 0.0000 0.5000 0.0000
H 0.5000 0.0000 0.0000

Values from the calculation:
M_tot (μB/f.u.): 0.0

***

(b)
VASP calculation (PBE-GGA) on crystalline InGaH3 at its relaxed geometry.

abc: 3.9092 3.9092 3.9092
angles: 90.00 90.00 90.00
Fractional positions:
In 0.0000 0.0000 0.0000
Ga 0.5000 0.5000 0.5000
H 0.0000 0.5000 0.5000
H 0.5000 0.0000 0.5000
H 0.5000 0.5000 0.0000

Values from the calculation:
M_tot (μB/f.u.): 0.0

***

Which is most stable? The ranking, best first, is (b), (a).